# ScAlIn2 (PBE, relaxed)
data_ScAlIn2
_chemical_formula_sum 'Sc1 Al1 In2'
_symmetry_space_group_name_H-M 'P 4/m m m'
_symmetry_Int_Tables_number 123
_symmetry_space_group_name_Hall '-P 4 2'
_cell_length_a 4.391
_cell_length_b 4.391
_cell_length_c 4.399
_cell_angle_alpha 90.00
_cell_angle_beta 90.00
_cell_angle_gamma 90.00
loop_
_atom_site_label
_atom_site_type_symbol
_atom_site_fract_x
_atom_site_fract_y
_atom_site_fract_z
_atom_site_occupancy
Sc1 Sc 0.000 0.000 0.000 1
Al1 Al 0.500 0.500 0.000 1
In1 In 0.000 0.500 0.500 1
# uncorrected energy = -4.183 eV/atom
# ΔH_f (0 K) = -0.30 eV/atom

=====

# Zn4GaPd7 (PBE, relaxed)
data_Zn4GaPd7
_chemical_formula_sum 'Zn8 Ga2 Pd14'
_symmetry_space_group_name_H-M 'C 1 2/m 1'
_symmetry_Int_Tables_number 12
_symmetry_space_group_name_Hall '-C 2y'
_cell_length_a 11.777
_cell_length_b 4.587
_cell_length_c 8.928
_cell_angle_alpha 90.00
_cell_angle_beta 125.34
_cell_angle_gamma 90.00
loop_
_atom_site_label
_atom_site_type_symbol
_atom_site_fract_x
_atom_site_fract_y
_atom_site_fract_z
_atom_site_occupancy
Zn1 Zn 0.073 0.000 0.278 1
Zn2 Zn 0.217 0.000 0.840 1
Ga1 Ga 0.000 0.500 0.500 1
Pd1 Pd 0.000 0.000 0.500 1
Pd2 Pd 0.074 0.500 0.820 1
Pd3 Pd 0.145 0.000 0.066 1
Pd4 Pd 0.213 0.500 0.380 1
# uncorrected energy = -4.007 eV/atom
# ΔH_f (0 K) = -0.30 eV/atom

=====

# K3YU3Se8 (PBE, relaxed)
data_K3YU3Se8
_chemical_formula_sum 'K9 Y3 U9 Se24'
_symmetry_space_group_name_H-M 'R -3 m'
_symmetry_Int_Tables_number 166
_symmetry_space_group_name_Hall '-R 3 2"'
_cell_length_a 8.3680
_cell_length_b 8.3680
_cell_length_c 23.4976
_cell_angle_alpha 90.00
_cell_angle_beta 90.00
_cell_angle_gamma 120.00
loop_
_atom_site_label
_atom_site_type_symbol
_atom_site_fract_x
_atom_site_fract_y
_atom_site_fract_z
_atom_site_occupancy
K1 K 0.0000 0.5000 0.0000 1
Y1 Y 0.0000 0.0000 0.5000 1
U1 U 0.0000 0.5000 0.5000 1
Se1 Se 0.0000 0.0000 0.2357 1
Se2 Se 0.0009 0.5005 0.7658 1
# uncorrected energy = -6.140 eV/atom
# E_form (uncorrected) = -1.37 eV per atom